VASP calculation (PBE-GGA) on a geometry-optimized K2TeH6 structure.

a = 5.106 Å, b = 5.972 Å, c = 5.972 Å
α = 120.00°, β = 90.00°, γ = 90.00°
Sites, in units of the cell vectors:
1 Te 0.000 0.000 0.000
2 H 0.500 0.564 0.000
3 H 0.500 0.000 0.564
4 H 0.500 0.436 0.436
5 H 0.500 0.000 0.436
6 H 0.500 0.564 0.564
7 H 0.500 0.436 0.000
8 K 0.000 0.333 0.667
9 K 0.000 0.667 0.333

Summary:
- space-group type = P6/mmm, No. 191
- magnetic moment (μB/atom) = 0.000
- ΔE to the lowest computed polymorph (eV per atom) = 0.0000
- DFT total energy (eV/cell) = -27.952



VASP calculation (PBE-GGA) on a geometry-optimized K2TeH structure.

a = 5.192 Å, b = 5.239 Å, c = 10.652 Å
α = 119.42°, β = 90.00°, γ = 90.00°
Sites, in units of the cell vectors:
1 K 0.750 0.118 0.869
2 K 0.250 0.759 0.510
3 K 0.250 0.882 0.131
4 K 0.750 0.241 0.490
5 H 0.750 0.511 0.763
6 H 0.250 0.489 0.237
7 Te 0.250 0.502 0.753
8 Te 0.750 0.498 0.247

Summary:
- space-group type = P2_1/m, No. 11
- magnetic moment (μB/atom) = 0.000
- ΔE to the lowest computed polymorph (eV per atom) = 0.0000
- DFT total energy (eV/cell) = -20.677



VASP calculation (PBE-GGA) on a geometry-optimized KTeH3 structure.

a = 9.750 Å, b = 5.059 Å, c = 9.781 Å
α = 112.18°, β = 90.00°, γ = 90.00°
Sites, in units of the cell vectors:
1 H 0.000 0.461 0.134
2 H 0.140 0.467 0.455
3 H 0.640 0.533 0.045
4 H 0.500 0.539 0.366
5 H 0.000 0.539 0.866
6 H 0.634 0.501 0.963
7 H 0.134 0.499 0.537
8 H 0.500 0.461 0.634
9 H 0.366 0.499 0.037
10 H 0.360 0.467 0.955
11 H 0.866 0.501 0.463
12 H 0.860 0.533 0.545
13 Te 0.502 0.813 0.736
14 Te 0.498 0.187 0.264
15 Te 0.002 0.187 0.764
16 Te 0.998 0.813 0.236
17 K 0.774 0.013 0.003
18 K 0.274 0.987 0.497
19 K 0.226 0.987 0.997
20 K 0.726 0.013 0.503

Summary:
- space-group type = P2_1/c, No. 14
- magnetic moment (μB/atom) = 0.000
- ΔE to the lowest computed polymorph (eV per atom) = 0.0000
- DFT total energy (eV/cell) = -63.137



D(E_F) per entry: 0.000; 2.729; 0.000 states/eV per cell